No. 1
First-principles (PBE) data for a relaxed structure of Ba2CaTl6Pb, as listed in Alexandria via LeMat-Bulk.

The structure in POSCAR format:
```
Ba2CaTl6Pb
1.0
0.000 5.868 5.868
5.868 0.000 5.868
5.868 5.868 0.000
Ba Ca Tl Pb
2 1 6 1
direct
0.250 0.250 0.250 Ba
0.750 0.750 0.750 Ba
0.000 0.000 0.000 Ca
0.250 0.250 0.750 Tl
0.250 0.750 0.250 Tl
0.250 0.750 0.750 Tl
0.750 0.250 0.250 Tl
0.750 0.250 0.750 Tl
0.750 0.750 0.250 Tl
0.500 0.500 0.500 Pb
```

Summary:
crystal system: cubic
E_form: -0.06 eV/atom


No. 2
First-principles (PBE) data for a relaxed structure of Mg4AlPd7, as listed in Alexandria via LeMat-Bulk.

The structure in POSCAR format:
```
Mg4AlPd7
1.0
5.232 -2.372 0.000
5.232 2.372 0.000
-4.234 0.000 8.402
Mg Al Pd
4 1 7
direct
0.090 0.090 0.272 Mg
0.269 0.269 0.835 Mg
0.731 0.731 0.165 Mg
0.910 0.910 0.728 Mg
0.500 0.500 0.500 Al
0.000 0.000 0.500 Pd
0.134 0.134 0.010 Pd
0.299 0.299 0.573 Pd
0.421 0.421 0.199 Pd
0.579 0.579 0.801 Pd
0.701 0.701 0.427 Pd
0.866 0.866 0.990 Pd
```

Summary:
crystal system: monoclinic
E_form: -0.48 eV/atom


No. 3
First-principles (PBE) data for a relaxed structure of Nd5TlSn2, as listed in Alexandria via LeMat-Bulk.

The structure in POSCAR format:
```
Nd5TlSn2
1.0
-4.173 4.173 7.300
4.173 -4.173 7.300
4.173 4.173 -7.300
Nd Tl Sn
10 2 4
direct
0.000 0.000 0.000 Nd
0.019 0.519 0.835 Nd
0.184 0.019 0.500 Nd
0.316 0.816 0.835 Nd
0.481 0.316 0.500 Nd
0.500 0.500 0.000 Nd
0.519 0.684 0.500 Nd
0.684 0.184 0.165 Nd
0.816 0.981 0.500 Nd
0.981 0.481 0.165 Nd
0.250 0.250 0.000 Tl
0.750 0.750 0.000 Tl
0.132 0.368 0.500 Sn
0.368 0.868 0.235 Sn
0.632 0.132 0.765 Sn
0.868 0.632 0.500 Sn
```

Summary:
crystal system: tetragonal
E_form: -0.53 eV/atom


No. 4
First-principles (PBE) data for a relaxed structure of Zr8Cd, as listed in Alexandria via LeMat-Bulk.

The structure in POSCAR format:
```
Zr8Cd
1.0
-4.884 4.884 2.165
4.884 -4.884 2.165
4.884 4.884 -2.165
Zr Cd
8 1
direct
0.000 0.334 0.334 Zr
0.000 0.666 0.666 Zr
0.332 0.332 0.663 Zr
0.332 0.668 0.000 Zr
0.334 0.000 0.334 Zr
0.666 0.000 0.666 Zr
0.668 0.332 0.000 Zr
0.668 0.668 0.337 Zr
0.000 0.000 0.000 Cd
```

Summary:
crystal system: tetragonal
E_form: -0.01 eV/atom


No. 5
First-principles (PBE) data for a relaxed structure of TbInAg4, as listed in Alexandria via LeMat-Bulk.

The structure in POSCAR format:
```
TbInAg4
1.0
0.000 3.961 3.961
3.961 0.000 3.961
3.961 3.961 0.000
Tb In Ag
1 1 4
direct
0.000 0.000 0.000 Tb
0.250 0.250 0.250 In
0.125 0.625 0.625 Ag
0.625 0.125 0.625 Ag
0.625 0.625 0.125 Ag
0.625 0.625 0.625 Ag
```

Summary:
crystal system: cubic
E_form: -0.22 eV/atom


| no. | M_tot (μB/cell) | DOS at the Fermi energy (states/eV/f.u.) | total energy (eV/atom) |
| --- | --- | --- | --- |
| 1 | 0.000 | 5.88 | -2.437 |
| 2 | 0.000 | 4.33 | -4.355 |
| 3 | 0.650 | 8.19 | -4.808 |
| 4 | 0.000 | 12.22 | -7.710 |
| 5 | 0.000 | 2.26 | -3.354 |